Computed, not measured: a geometry-optimized CsCoOs3 structure at the PBE-GGA level of DFT.

Geometry as CIF:
```
data_CsCoOs3
_symmetry_space_group_name_H-M 'P m -3 m'
_symmetry_Int_Tables_number 221
_symmetry_space_group_name_Hall '-P 4 2 3'
_cell_length_a 4.8541
_cell_length_b 4.8541
_cell_length_c 4.8541
_cell_angle_alpha 90.00
_cell_angle_beta 90.00
_cell_angle_gamma 90.00
loop_
_atom_site_label
_atom_site_fract_x
_atom_site_fract_y
_atom_site_fract_z
_atom_site_occupancy
Cs1 0.0000 0.0000 0.0000 1
Co1 0.5000 0.5000 0.5000 1
Os1 0.0000 0.0000 0.5000 1
```

Calculated values
Calculated formation energy: 4.430 eV/atom
Energy above the most stable polymorph in this dataset: 2121 meV/atom